Entry 1:
NaIn2Pd9: relaxed, GGA-PBE.

Cell: 4.054 4.054 11.980 Å, 90.00 90.00 90.00°
Fractional coordinates of all 12 atoms:
Na  0.000  0.000  0.000
In  0.000  0.000  0.333
In  0.000  0.000  0.667
Pd  0.000  0.500  0.168
Pd  0.000  0.500  0.500
Pd  0.000  0.500  0.832
Pd  0.500  0.000  0.168
Pd  0.500  0.000  0.500
Pd  0.500  0.000  0.832
Pd  0.500  0.500  0.000
Pd  0.500  0.500  0.332
Pd  0.500  0.500  0.668

Results
* crystal system: tetragonal
* size of the total moment: 0.00 μB/atom
* density of states at the Fermi level: 15.60 states/eV/cell
* density: 10.21 g/cm3
* energy relative to the elements: -3.33 eV per formula unit

---

Entry 2:
NaIn5Pd6: relaxed, GGA-PBE.

Cell: 7.414 7.414 6.552 Å, 90.09 90.09 143.21°
Fractional coordinates of all 12 atoms:
Na  0.000  0.000  0.000
In  0.000  0.000  0.500
In  0.335  0.665  0.500
In  0.341  0.659  0.000
In  0.659  0.341  0.000
In  0.665  0.335  0.500
Pd  0.174  0.826  0.253
Pd  0.174  0.826  0.747
Pd  0.499  0.499  0.265
Pd  0.501  0.501  0.735
Pd  0.826  0.174  0.253
Pd  0.826  0.174  0.747

Results
* crystal system: monoclinic
* size of the total moment: 0.00 μB/atom
* density of states at the Fermi level: 4.54 states/eV/cell
* density: 9.51 g/cm3
* energy relative to the elements: -5.66 eV per formula unit